A relaxed Rb2Li2BiO4 crystal. Source: the Alexandria database, functional PBE.

The structure in extended XYZ format:
```
9
Lattice="-0.522 3.524 -0.151 -6.550 -0.951 0.432 2.691 -1.152 5.910" Properties=species:S:1:pos:R:3 pbc="T T T"
O -5.347 1.034 0.504
O -4.441 1.314 3.910
O 0.966 0.386 5.686
O 0.061 0.107 2.281
Bi 0.000 0.000 0.000
Li -5.876 1.040 2.480
Li 1.495 0.380 3.710
Rb -1.366 1.786 4.306
Rb -3.015 -0.366 1.885
```

Computed properties:
* energy relative to the elements, uncorrected: -1426 meV per atom
* raw total energy: -4.7015 eV/atom